(P)
A plane-wave DFT calculation with PBE-GGA was carried out for MnIn3Cl4 after structural relaxation.

Crystal system: tetragonal
D(E_F): 2.615 states/eV/f.u.

Cell lengths 7.0573, 7.0573, 7.0573 Å; angles 105.53, 105.53, 117.68 degrees
Fractional positions:
Mn: 0.0000 0.0000 0.0000
In: 0.2500 0.7500 0.5000
In: 0.5000 0.5000 0.0000
In: 0.7500 0.2500 0.5000
Cl: 0.0116 0.3393 0.0000
Cl: 0.3393 0.0116 0.0000
Cl: 0.6607 0.6607 0.6723
Cl: 0.9884 0.9884 0.3277

=====

(Q)
A plane-wave DFT calculation with PBE-GGA was carried out for MnIn3Cl4 after structural relaxation.

Crystal system: orthorhombic
D(E_F): 0.811 states/eV/f.u.

Cell lengths 9.1297, 8.6414, 5.9822 Å; angles 90.00, 90.00, 90.00 degrees
Fractional positions:
Mn: 0.0000 0.0506 0.0000
Mn: 0.5000 0.9494 0.5000
In: 0.0000 0.4335 0.6128
In: 0.1705 0.4782 0.1109
In: 0.3295 0.5218 0.6109
In: 0.5000 0.5665 0.1128
In: 0.6705 0.5218 0.6109
In: 0.8295 0.4782 0.1109
Cl: 0.0000 0.1349 0.6183
Cl: 0.0000 0.7914 0.0928
Cl: 0.2186 0.1749 0.1204
Cl: 0.2814 0.8251 0.6204
Cl: 0.5000 0.2086 0.5928
Cl: 0.5000 0.8651 0.1183
Cl: 0.7186 0.8251 0.6204
Cl: 0.7814 0.1749 0.1204

=====

Quick one: most stable of them? (Q)

=====

(P)
A plane-wave DFT calculation with PBE-GGA was carried out for MnInS2Cl after structural relaxation.

Crystal system: tetragonal
D(E_F): 3.195 states/eV/f.u.

Cell lengths 4.6661, 4.6661, 4.9075 Å; angles 90.00, 90.00, 90.00 degrees
Fractional positions:
Mn: 0.0000 0.0000 0.0000
In: 0.5000 0.5000 0.5000
S: 0.0000 0.5000 0.0000
S: 0.5000 0.0000 0.0000
Cl: 0.0000 0.0000 0.5000

=====

(Q)
A plane-wave DFT calculation with PBE-GGA was carried out for MnInS2Cl after structural relaxation.

Crystal system: tetragonal
D(E_F): 1.337 states/eV/f.u.

Cell lengths 5.0923, 5.0923, 5.0263 Å; angles 90.00, 90.00, 90.00 degrees
Fractional positions:
Mn: 0.0000 0.0000 0.0000
In: 0.5000 0.5000 0.5000
S: 0.0000 0.5000 0.5000
S: 0.5000 0.0000 0.5000
Cl: 0.5000 0.5000 0.0000

=====

Quick one: most stable of them? (P)

=====

(P)
A plane-wave DFT calculation with PBE-GGA was carried out for MnInSCl2 after structural relaxation.

Crystal system: tetragonal
D(E_F): 2.392 states/eV/f.u.

Cell lengths 5.0074, 5.0074, 5.0436 Å; angles 90.00, 90.00, 90.00 degrees
Fractional positions:
Mn: 0.0000 0.0000 0.0000
In: 0.5000 0.5000 0.5000
S: 0.5000 0.5000 0.0000
Cl: 0.0000 0.5000 0.5000
Cl: 0.5000 0.0000 0.5000

=====

(Q)
A plane-wave DFT calculation with PBE-GGA was carried out for MnInSCl2 after structural relaxation.

Crystal system: tetragonal
D(E_F): 6.456 states/eV/f.u.

Cell lengths 6.2074, 6.2074, 5.8450 Å; angles 90.00, 90.00, 90.00 degrees
Fractional positions:
Mn: 0.0000 0.0000 0.0000
In: 0.5000 0.5000 0.5000
S: 0.0000 0.0000 0.5000
Cl: 0.0000 0.5000 0.0000
Cl: 0.5000 0.0000 0.0000

=====

Quick one: most stable of them? (P)

=====

(P)
A plane-wave DFT calculation with PBE-GGA was carried out for InMoCl4 after structural relaxation.

Crystal system: cubic
D(E_F): 8.604 states/eV/f.u.

Cell lengths 6.0051, 6.0051, 6.0051 Å; angles 60.00, 60.00, 60.00 degrees
Fractional positions:
In: 0.0000 0.0000 0.0000
Mo: 0.7500 0.7500 0.7500
Cl: 0.3754 0.3754 0.3754
Cl: 0.3754 0.3754 0.8737
Cl: 0.3754 0.8737 0.3754
Cl: 0.8737 0.3754 0.3754

=====

(Q)
A plane-wave DFT calculation with PBE-GGA was carried out for InMoCl4 after structural relaxation.

Crystal system: triclinic

Cell lengths 6.6067, 7.1466, 8.7980 Å; angles 67.50, 68.81, 76.64 degrees
Fractional positions:
In: 0.1871 0.2669 0.4905
In: 0.8129 0.7331 0.5095
Mo: 0.3004 0.9992 0.0004
Mo: 0.6996 0.0008 0.9996
Cl: 0.0158 0.7533 0.0941
Cl: 0.1143 0.0401 0.2805
Cl: 0.4055 0.9520 0.7230
Cl: 0.4770 0.3023 0.8877
Cl: 0.5230 0.6977 0.1123
Cl: 0.5945 0.0480 0.2770
Cl: 0.8857 0.9599 0.7195
Cl: 0.9842 0.2467 0.9059

=====

Quick one: most stable of them? (Q)

=====

(P)
A plane-wave DFT calculation with PBE-GGA was carried out for InMoCl3 after structural relaxation.

Crystal system: cubic
D(E_F): 0.899 states/eV/f.u.

Cell lengths 5.1556, 5.1556, 5.1556 Å; angles 90.00, 90.00, 90.00 degrees
Fractional positions:
In: 0.0000 0.0000 0.0000
Mo: 0.5000 0.5000 0.5000
Cl: 0.0000 0.5000 0.5000
Cl: 0.5000 0.0000 0.5000
Cl: 0.5000 0.5000 0.0000

=====

(Q)
A plane-wave DFT calculation with PBE-GGA was carried out for InMoCl3 after structural relaxation.

Crystal system: cubic
D(E_F): 1.370 states/eV/f.u.

Cell lengths 5.3031, 5.3031, 5.3031 Å; angles 90.00, 90.00, 90.00 degrees
Fractional positions:
In: 0.0000 0.0000 0.0000
Mo: 0.5000 0.5000 0.5000
Cl: 0.0000 0.0000 0.5000
Cl: 0.0000 0.5000 0.0000
Cl: 0.5000 0.0000 0.0000

=====

Quick one: most stable of them? (P)

=====

(P)
A plane-wave DFT calculation with PBE-GGA was carried out for InP2NCl after structural relaxation.

Crystal system: tetragonal
D(E_F): 4.641 states/eV/f.u.

Cell lengths 3.9181, 3.9181, 6.5040 Å; angles 90.00, 90.00, 90.00 degrees
Fractional positions:
In: 0.0000 0.0000 0.0000
P: 0.0000 0.5000 0.5000
P: 0.5000 0.0000 0.5000
N: 0.5000 0.5000 0.5000
Cl: 0.5000 0.5000 0.0000

=====

(Q)
A plane-wave DFT calculation with PBE-GGA was carried out for InP2NCl after structural relaxation.

Crystal system: tetragonal
D(E_F): 2.472 states/eV/f.u.

Cell lengths 5.6518, 5.6518, 5.4811 Å; angles 90.00, 90.00, 90.00 degrees
Fractional positions:
In: 0.0000 0.0000 0.0000
P: 0.0000 0.5000 0.0000
P: 0.5000 0.0000 0.0000
N: 0.5000 0.5000 0.5000
Cl: 0.0000 0.0000 0.5000

=====

Quick one: most stable of them? (P)

=====

(P)
A plane-wave DFT calculation with PBE-GGA was carried out for InS2NCl after structural relaxation.

Crystal system: tetragonal
D(E_F): 1.972 states/eV/f.u.

Cell lengths 3.9727, 3.9727, 6.5670 Å; angles 90.00, 90.00, 90.00 degrees
Fractional positions:
In: 0.0000 0.0000 0.0000
S: 0.0000 0.5000 0.5000
S: 0.5000 0.0000 0.5000
N: 0.5000 0.5000 0.5000
Cl: 0.5000 0.5000 0.0000

=====

(Q)
A plane-wave DFT calculation with PBE-GGA was carried out for InS2NCl after structural relaxation.

Crystal system: tetragonal
D(E_F): 1.676 states/eV/f.u.

Cell lengths 5.2637, 5.2637, 4.3075 Å; angles 90.00, 90.00, 90.00 degrees
Fractional positions:
In: 0.0000 0.0000 0.0000
S: 0.0000 0.5000 0.0000
S: 0.5000 0.0000 0.0000
N: 0.0000 0.0000 0.5000
Cl: 0.5000 0.5000 0.5000

=====

Quick one: most stable of them? (P)

=====

(P)
A plane-wave DFT calculation with PBE-GGA was carried out for InS2NCl after structural relaxation.

Crystal system: tetragonal
D(E_F): 1.999 states/eV/f.u.

Cell lengths 4.9166, 4.9166, 3.8329 Å; angles 90.00, 90.00, 90.00 degrees
Fractional positions:
In: 0.0000 0.0000 0.0000
S: 0.0000 0.5000 0.5000
S: 0.5000 0.0000 0.5000
N: 0.5000 0.5000 0.0000
Cl: 0.5000 0.5000 0.5000

=====

(Q)
A plane-wave DFT calculation with PBE-GGA was carried out for InS2NCl after structural relaxation.

Crystal system: tetragonal
D(E_F): 5.521 states/eV/f.u.

Cell lengths 5.2528, 5.2528, 5.2882 Å; angles 90.00, 90.00, 90.00 degrees
Fractional positions:
In: 0.0000 0.0000 0.0000
S: 0.0000 0.5000 0.0000
S: 0.5000 0.0000 0.0000
N: 0.5000 0.5000 0.5000
Cl: 0.0000 0.0000 0.5000

=====

Quick one: most stable of them? (Q)

=====

(P)
A plane-wave DFT calculation with PBE-GGA was carried out for InSNCl2 after structural relaxation.

Crystal system: tetragonal
D(E_F): 3.878 states/eV/f.u.

Cell lengths 5.1950, 5.1950, 5.0874 Å; angles 90.00, 90.00, 90.00 degrees
Fractional positions:
In: 0.0000 0.0000 0.0000
S: 0.0000 0.0000 0.5000
N: 0.5000 0.5000 0.5000
Cl: 0.0000 0.5000 0.0000
Cl: 0.5000 0.0000 0.0000

=====

(Q)
A plane-wave DFT calculation with PBE-GGA was carried out for InSNCl2 after structural relaxation.

Crystal system: tetragonal
D(E_F): 4.058 states/eV/f.u.

Cell lengths 6.1546, 6.1546, 3.3176 Å; angles 90.00, 90.00, 90.00 degrees
Fractional positions:
In: 0.0000 0.0000 0.0000
S: 0.5000 0.5000 0.0000
N: 0.5000 0.5000 0.5000
Cl: 0.0000 0.5000 0.5000
Cl: 0.5000 0.0000 0.5000

=====

Quick one: most stable of them? (Q)

=====

(P)
A plane-wave DFT calculation with PBE-GGA was carried out for Na2InCl after structural relaxation.

Crystal system: trigonal
D(E_F): 2.135 states/eV/f.u.

Cell lengths 9.8974, 9.8974, 9.8974 Å; angles 21.47, 21.47, 21.47 degrees
Fractional positions:
Na: 0.1058 0.1058 0.1058
Na: 0.8942 0.8942 0.8942
In: 0.0000 0.0000 0.0000
Cl: 0.5000 0.5000 0.5000

=====

(Q)
A plane-wave DFT calculation with PBE-GGA was carried out for Na2InCl after structural relaxation.

Crystal system: tetragonal
D(E_F): 0.187 states/eV/f.u.

Cell lengths 6.7488, 6.7488, 6.7488 Å; angles 106.44, 106.44, 115.72 degrees
Fractional positions:
Na: 0.0669 0.6250 0.9419
Na: 0.3750 0.3169 0.4419
Na: 0.6831 0.1250 0.0581
Na: 0.8750 0.9331 0.5581
In: 0.2500 0.7500 0.5000
In: 0.5000 0.5000 0.0000
Cl: 0.0000 0.0000 0.0000
Cl: 0.7500 0.2500 0.5000

=====

Quick one: most stable of them? (P)

=====

(P)
A plane-wave DFT calculation with PBE-GGA was carried out for Na2InCl after structural relaxation.

Crystal system: tetragonal
D(E_F): 1.641 states/eV/f.u.

Cell lengths 3.4054, 3.4054, 8.5662 Å; angles 90.00, 90.00, 90.00 degrees
Fractional positions:
Na: 0.0000 0.0000 0.1995
Na: 0.0000 0.0000 0.8005
In: 0.5000 0.5000 0.5000
Cl: 0.5000 0.5000 0.0000

=====

(Q)
A plane-wave DFT calculation with PBE-GGA was carried out for Na2InCl after structural relaxation.

Crystal system: cubic
D(E_F): 1.719 states/eV/f.u.

Cell lengths 5.4651, 5.4651, 5.4651 Å; angles 60.00, 60.00, 60.00 degrees
Fractional positions:
Na: 0.2500 0.2500 0.2500
Na: 0.7500 0.7500 0.7500
In: 0.0000 0.0000 0.0000
Cl: 0.5000 0.5000 0.5000

=====

Quick one: most stable of them? (P)

=====

(P)
A plane-wave DFT calculation with PBE-GGA was carried out for NaIn2Cl after structural relaxation.

Crystal system: tetragonal
D(E_F): 2.036 states/eV/f.u.

Cell lengths 7.0804, 7.0804, 7.0804 Å; angles 100.15, 100.15, 130.35 degrees
Fractional positions:
Na: 0.0000 0.0000 0.0000
Na: 0.7500 0.2500 0.5000
In: 0.1567 0.6250 0.0317
In: 0.3750 0.4067 0.5317
In: 0.5933 0.1250 0.9683
In: 0.8750 0.8433 0.4683
Cl: 0.2500 0.7500 0.5000
Cl: 0.5000 0.5000 0.0000

=====

(Q)
A plane-wave DFT calculation with PBE-GGA was carried out for NaIn2Cl after structural relaxation.

Crystal system: cubic
D(E_F): 2.384 states/eV/f.u.

Cell lengths 5.4978, 5.4978, 5.4978 Å; angles 60.00, 60.00, 60.00 degrees
Fractional positions:
Na: 0.0000 0.0000 0.0000
In: 0.2500 0.2500 0.2500
In: 0.7500 0.7500 0.7500
Cl: 0.5000 0.5000 0.5000

=====

Quick one: most stable of them? (P)